[1]
{"formula": "Sr3Bi5Rh6", "functional": "PBE", "state": "optimized geometry", "lattice": [[-0.918, 0.067, 4.321], [9.908, -5.028, 2.184], [5.868, 12.025, 1.061]], "species": ["Sr", "Sr", "Sr", "Sr", "Sr", "Sr", "Bi", "Bi", "Bi", "Bi", "Bi", "Bi", "Bi", "Bi", "Bi", "Bi", "Rh", "Rh", "Rh", "Rh", "Rh", "Rh", "Rh", "Rh", "Rh", "Rh", "Rh", "Rh"], "frac_coords": [[0.000, 0.258, 0.668], [0.500, 0.742, 0.168], [0.500, 0.742, 0.832], [0.000, 0.259, 0.000], [0.500, 0.741, 0.500], [0.000, 0.258, 0.332], [0.000, 0.515, 0.868], [0.000, 0.863, 0.668], [0.000, 0.856, 0.000], [0.500, 0.485, 0.632], [0.500, 0.144, 0.500], [0.000, 0.515, 0.132], [0.500, 0.485, 0.368], [0.000, 0.863, 0.332], [0.500, 0.137, 0.832], [0.500, 0.137, 0.168], [0.000, 0.999, 0.836], [0.500, 0.001, 0.664], [0.500, 0.377, 0.818], [0.500, 0.490, 0.000], [0.000, 0.510, 0.500], [0.000, 0.623, 0.682], [0.000, 0.623, 0.318], [0.500, 0.999, 0.000], [0.000, 0.999, 0.164], [0.500, 0.377, 0.182], [0.000, 0.001, 0.500], [0.500, 0.001, 0.336]], "magnetic_moment_mub_per_cell": 0.00, "energy_ev_per_fu": -74.4, "vol_a3_per_atom": 23.98, "formation_energy_ev_per_atom": -0.417, "dos_at_fermi_per_ev_fu": 9.6, "rho_g_cm3": 9.5}

[2]
{"formula": "YHo4Tm2Sc", "functional": "PBE", "state": "optimized geometry", "lattice": [[4.939, 0.000, 0.000], [0.000, 4.817, 1.086], [0.000, 2.650, 10.690]], "species": ["Y", "Ho", "Ho", "Ho", "Ho", "Tm", "Tm", "Sc"], "frac_coords": [[0.500, 0.500, 0.000], [0.000, 0.755, 0.744], [0.000, 0.245, 0.256], [0.500, 0.745, 0.256], [0.500, 0.255, 0.744], [0.000, 0.000, 0.000], [0.500, 0.000, 0.500], [0.000, 0.500, 0.500]], "magnetic_moment_mub_per_cell": 0.00, "energy_ev_per_fu": -39.8, "vol_a3_per_atom": 30.01, "formation_energy_ev_per_atom": 0.036, "dos_at_fermi_per_ev_fu": 12.2, "rho_g_cm3": 7.8}

[3]
{"formula": "Th4Pd6Rh7", "functional": "PBE", "state": "optimized geometry", "lattice": [[-4.701, -0.867, 5.657], [-3.829, 0.934, -6.270], [4.282, -6.013, -0.595]], "species": ["Th", "Th", "Th", "Th", "Pd", "Pd", "Pd", "Pd", "Pd", "Pd", "Rh", "Rh", "Rh", "Rh", "Rh", "Rh", "Rh"], "frac_coords": [[0.500, 0.000, 0.000], [0.500, 0.500, 0.500], [0.000, 0.500, 0.000], [0.000, 0.000, 0.500], [0.698, 0.000, 0.698], [0.698, 0.698, 0.000], [0.000, 0.302, 0.302], [0.302, 0.000, 0.302], [0.302, 0.302, 0.000], [0.000, 0.698, 0.698], [0.750, 0.500, 0.250], [0.250, 0.750, 0.500], [0.500, 0.750, 0.250], [0.750, 0.250, 0.500], [0.250, 0.500, 0.750], [0.500, 0.250, 0.750], [0.000, 0.000, 0.000]], "magnetic_moment_mub_per_cell": 0.00, "energy_ev_per_fu": -124.5, "vol_a3_per_atom": 18.40, "formation_energy_ev_per_atom": -0.719, "dos_at_fermi_per_ev_fu": 17.6, "rho_g_cm3": 12.1}

[4]
{"formula": "PaGaFe", "functional": "PBE", "state": "optimized geometry", "lattice": [[3.516, 0.000, 0.000], [0.000, 3.516, 0.000], [-1.758, -1.758, 4.658]], "species": ["Pa", "Fe", "Ga"], "frac_coords": [[0.644, 0.644, 0.287], [0.876, 0.876, 0.752], [0.330, 0.330, 0.661]], "magnetic_moment_mub_per_cell": 0.00, "energy_ev_per_fu": -20.8, "vol_a3_per_atom": 19.20, "formation_energy_ev_per_atom": 0.057, "dos_at_fermi_per_ev_fu": 4.2, "rho_g_cm3": 10.3}

[5]
{"formula": "ErZr2S4", "functional": "PBE", "state": "optimized geometry", "lattice": [[3.612, 0.000, 0.000], [-1.806, 5.994, 0.000], [0.000, 0.000, 13.097]], "species": ["Er", "Er", "Zr", "Zr", "Zr", "Zr", "S", "S", "S", "S", "S", "S", "S", "S"], "frac_coords": [[0.611, 0.222, 0.750], [0.389, 0.778, 0.250], [0.145, 0.290, 0.440], [0.855, 0.710, 0.940], [0.145, 0.290, 0.060], [0.855, 0.710, 0.560], [0.784, 0.569, 0.127], [0.784, 0.569, 0.373], [0.216, 0.431, 0.873], [0.216, 0.431, 0.627], [0.946, 0.892, 0.750], [0.054, 0.108, 0.250], [0.500, 0.000, 0.000], [0.500, 0.000, 0.500]], "magnetic_moment_mub_per_cell": 0.00, "energy_ev_per_fu": -49.8, "vol_a3_per_atom": 20.26, "dos_at_fermi_per_ev_fu": 3.5, "rho_g_cm3": 5.6, "formation_energy_uncorrected_ev_per_atom": -1.665}

[6]
{"formula": "ErCd2Ag8", "functional": "PBE", "state": "optimized geometry", "lattice": [[4.196, 0.000, -1.206], [-0.662, 6.276, -2.304], [-0.023, 0.511, 7.821]], "species": ["Er", "Cd", "Cd", "Ag", "Ag", "Ag", "Ag", "Ag", "Ag", "Ag", "Ag"], "frac_coords": [[0.500, 0.000, 0.000], [0.228, 0.644, 0.455], [0.772, 0.356, 0.545], [0.592, 0.465, 0.185], [0.316, 0.088, 0.631], [0.137, 0.190, 0.274], [0.045, 0.724, 0.091], [0.863, 0.810, 0.726], [0.684, 0.912, 0.369], [0.408, 0.535, 0.815], [0.955, 0.276, 0.909]], "magnetic_moment_mub_per_cell": 0.00, "energy_ev_per_fu": -30.3, "vol_a3_per_atom": 19.19, "formation_energy_ev_per_atom": -0.101, "dos_at_fermi_per_ev_fu": 3.4, "rho_g_cm3": 9.9}

[7]
{"formula": "BaAg5Cl7", "functional": "PBE", "state": "optimized geometry", "lattice": [[-3.064, -5.119, 0.080], [-0.070, -3.554, -7.592], [5.189, -6.583, -0.005]], "species": ["Ba", "Ag", "Ag", "Ag", "Ag", "Ag", "Cl", "Cl", "Cl", "Cl", "Cl", "Cl", "Cl"], "frac_coords": [[0.986, 0.014, 0.014], [0.482, 0.032, 0.480], [0.006, 0.032, 0.480], [0.482, 0.480, 0.032], [0.006, 0.480, 0.032], [0.761, 0.739, 0.739], [0.710, 0.290, 0.290], [0.240, 0.760, 0.760], [0.916, 0.385, 0.782], [0.916, 0.782, 0.385], [0.328, 0.172, 0.172], [0.583, 0.740, 0.093], [0.583, 0.093, 0.740]], "magnetic_moment_mub_per_cell": 0.00, "energy_ev_per_fu": -39.4, "vol_a3_per_atom": 27.41, "rho_g_cm3": 4.3, "formation_energy_uncorrected_ev_per_atom": -0.791}

[8]
{"formula": "CsReO2F", "functional": "PBE", "state": "optimized geometry", "lattice": [[-3.612, -1.292, 0.827], [1.233, -3.704, -0.401], [1.153, -0.138, 4.821]], "species": ["Cs", "Re", "O", "O", "F"], "frac_coords": [[0.500, 0.500, 0.500], [0.000, 0.000, 0.000], [0.000, 0.500, 0.000], [0.500, 0.000, 0.000], [0.000, 0.000, 0.500]], "magnetic_moment_mub_per_cell": 0.17, "energy_ev_per_fu": -32.7, "vol_a3_per_atom": 15.28, "dos_at_fermi_per_ev_fu": 1.7, "rho_g_cm3": 8.0, "formation_energy_uncorrected_ev_per_atom": -1.524}

[9]
{"formula": "TbPuCuNi", "functional": "PBE", "state": "optimized geometry", "lattice": [[-1.087, -3.889, -2.683], [3.423, -3.282, -1.009], [-0.170, -4.389, 2.051]], "species": ["Ni", "Tb", "Cu", "Pu"], "frac_coords": [[0.250, 0.250, 0.250], [0.000, 0.000, 0.000], [0.750, 0.750, 0.750], [0.500, 0.500, 0.500]], "magnetic_moment_mub_per_cell": 5.47, "energy_ev_per_fu": -29.2, "vol_a3_per_atom": 20.14, "formation_energy_ev_per_atom": -0.085, "dos_at_fermi_per_ev_fu": 11.7, "rho_g_cm3": 10.8}

[10]
{"formula": "Li2PRh", "functional": "PBE", "state": "optimized geometry", "lattice": [[-0.947, 4.255, -1.579], [1.756, -3.170, -2.892], [-2.605, -0.829, -0.675]], "species": ["Li", "Li", "P", "Rh"], "frac_coords": [[0.000, 0.000, 0.000], [0.500, 0.500, 0.000], [0.500, 0.000, 0.500], [0.000, 0.500, 0.500]], "magnetic_moment_mub_per_cell": 0.00, "energy_ev_per_fu": -18.2, "vol_a3_per_atom": 13.17, "formation_energy_ev_per_atom": -0.415, "dos_at_fermi_per_ev_fu": 1.7, "rho_g_cm3": 4.7}

[11]
{"formula": "BeNbRe2W", "functional": "PBE", "state": "optimized geometry", "lattice": [[-2.222, -3.500, 0.476], [2.456, -1.099, 3.381], [-2.618, 2.010, 2.554]], "species": ["Re", "Re", "Nb", "W", "Be"], "frac_coords": [[0.000, 0.000, 0.500], [0.500, 0.000, 0.000], [0.000, 0.500, 0.000], [0.500, 0.500, 0.500], [0.000, 0.000, 0.000]], "magnetic_moment_mub_per_cell": 0.00, "energy_ev_per_fu": -48.5, "vol_a3_per_atom": 15.05, "formation_energy_ev_per_atom": 0.625, "dos_at_fermi_per_ev_fu": 4.5, "rho_g_cm3": 14.5}

[12]
{"formula": "GdInIr", "functional": "PBE", "state": "optimized geometry", "lattice": [[-0.357, -2.804, -1.743], [-1.580, -1.394, 2.566], [-4.182, 4.063, -2.517]], "species": ["Gd", "In", "Ir"], "frac_coords": [[0.930, 0.930, 0.859], [0.641, 0.641, 0.282], [0.279, 0.279, 0.559]], "magnetic_moment_mub_per_cell": 7.08, "energy_ev_per_fu": -27.0, "vol_a3_per_atom": 21.69, "formation_energy_ev_per_atom": -0.450, "dos_at_fermi_per_ev_fu": 2.1, "rho_g_cm3": 11.8}